Ho2VPO8 after structural relaxation. Source: the Alexandria database, functional PBE+U.

Lattice parameters (Å, degrees): 5.8825 5.8825 5.8825 106.04 106.04 116.58
Fractional positions:
O 0.7650 0.0926 0.6724
O 0.8682 0.6824 0.1858
O 0.9074 0.5799 0.6724
O 0.3176 0.1318 0.8142
O 0.4201 0.0926 0.3276
O 0.9074 0.2350 0.3276
O 0.4966 0.6824 0.8142
O 0.3176 0.5034 0.1858
V 0.5000 0.5000 0.0000
Ho 0.2500 0.7500 0.5000
Ho 0.0000 0.0000 0.0000
P 0.7500 0.2500 0.5000

## Properties
The calculation puts the spin magnetization at 0.00 μB/f.u. The electronic total energy is -8.03 eV/atom.